(1)
Density functional theory data (PBE) for a geometry-optimized Cs2TlPtPb structure.

```
Cs2TlPtPb
1.0
-5.637 3.303 3.025
-3.063 -3.815 -1.542
1.257 -3.501 6.164
Pb Cs Tl Pt
1 2 1 1
Cartesian
-3.722 -2.007 3.824
0.628 -1.751 3.082
-2.819 1.651 1.513
0.000 0.000 0.000
-1.531 -1.908 -0.771
```

Its density of states at the Fermi level is 5.717 states/eV/cell. The mass density comes out at 5.45 Mg/m³. For the total energy, the calculation gives -12.15 eV/cell. For the volume, the calculation gives 53.18 Å³ per atom. As for the space group: P4/mmm (123).



(2)
Density functional theory data (PBE) for a geometry-optimized Li2Ga7Cu2 structure.

```
Li2Ga7Cu2
1.0
7.056 0.412 0.594
-0.372 5.340 0.576
-0.372 -1.336 5.202
Li Ga Cu
2 7 2
Cartesian
3.156 0.180 4.592
3.156 4.236 1.781
1.244 -0.580 2.708
5.068 1.677 5.965
5.068 4.996 3.665
1.244 2.739 0.408
0.000 0.000 0.000
4.436 2.303 3.323
1.876 2.114 3.050
6.775 1.731 2.497
-0.463 2.686 3.876
```

Its density of states at the Fermi level is 2.690 states/eV/cell. The mass density comes out at 5.13 Mg/m³. For the total energy, the calculation gives -33.55 eV/cell. For the volume, the calculation gives 18.51 Å³ per atom. As for the space group: C2/m (12).



(3)
Density functional theory data (PBE) for a geometry-optimized Ce2AsCl2 structure.

```
Ce2AsCl2
1.0
-2.549 -1.579 -2.892
1.448 -2.748 -2.776
-2.732 -8.917 4.276
Ce As Cl
2 1 2
Cartesian
-1.133 -4.145 -2.739
-2.700 -9.099 1.347
0.000 0.000 0.000
-1.152 -3.925 0.158
-2.681 -9.320 -1.550
```

Its density of states at the Fermi level is 11.814 states/eV/cell. The mass density comes out at 4.72 Mg/m³. For the volume, the calculation gives 29.98 Å³ per atom. As for the formation energy from raw total energies: -1.8061 eV/atom. As for the space group: R-3m (166).



(4)
Density functional theory data (PBE) for a geometry-optimized KCdIr2 structure.

```
KCdIr2
1.0
2.802 0.000 0.000
0.000 4.007 0.000
0.000 0.000 8.183
Cd Ir K
1 2 1
Cartesian
1.401 2.003 6.645
0.000 0.000 0.490
1.401 2.003 1.305
0.000 0.000 3.833
```

Its density of states at the Fermi level is 4.396 states/eV/cell. The mass density comes out at 9.69 Mg/m³. For the total energy, the calculation gives -18.61 eV/cell. For the volume, the calculation gives 22.97 Å³ per atom. As for the space group: Pmm2 (25).



> Which value of mass density does entry 1 give?

5.45 Mg/m³



> Which value of mass density does entry 4 give?

9.69 Mg/m³



> What is the mass density in the fourth record?

9.69 Mg/m³



> Which of these has the lowest volume?

Li2Ga7Cu2